(1)
Density functional theory data (PBE-GGA) for crystalline AcLa4PrSm2 at its relaxed geometry.

POSCAR file:
```
AcLa4PrSm2
1.0
-2.241 1.251 4.613
-6.192 1.833 -0.485
-2.914 -8.618 3.941
Ac La Sm Pr
1 4 2 1
direct
0.500 0.500 0.500
0.374 0.376 0.877
0.876 0.876 0.371
0.626 0.624 0.123
0.124 0.124 0.629
0.255 0.244 0.246
0.745 0.756 0.754
0.000 0.000 0.000
```

* N(E_F): 15.32 states/eV/cell
* energy: -37.84 eV per cell
* volume: 37.0 A^3/atom
* space-group type: C2/m

---

(2)
Density functional theory data (PBE-GGA) for crystalline Ac6La3PrSm2 at its relaxed geometry.

POSCAR file:
```
Ac6La3PrSm2
1.0
6.710 -0.005 0.014
-3.358 5.810 0.014
-1.148 -1.987 12.368
Sm Ac La Pr
2 6 3 1
direct
0.667 0.333 0.000
0.333 0.667 0.000
0.748 0.748 0.247
0.082 0.416 0.246
0.584 0.918 0.754
0.252 0.252 0.753
0.416 0.082 0.246
0.918 0.584 0.754
0.833 0.167 0.500
0.500 0.500 0.500
0.167 0.833 0.500
0.000 0.000 0.000
```

* N(E_F): 19.46 states/eV/cell
* energy: -53.34 eV per cell
* volume: 40.2 A^3/atom
* space-group type: C2/m

---

(3)
Density functional theory data (PBE-GGA) for crystalline Ac2La5PrSm at its relaxed geometry.

POSCAR file:
```
Ac2La5PrSm
1.0
9.200 0.000 0.000
0.000 9.200 0.000
-4.600 -4.600 8.184
La Ac Sm Pr
10 4 2 2
direct
0.448 0.344 0.292
0.552 0.656 0.708
0.156 0.052 0.708
0.000 0.000 0.000
0.844 0.948 0.292
0.948 0.448 0.292
0.500 0.500 0.000
0.656 0.156 0.708
0.052 0.552 0.708
0.344 0.844 0.292
0.371 0.871 0.000
0.129 0.371 0.000
0.629 0.129 0.000
0.871 0.629 0.000
0.250 0.750 0.500
0.750 0.250 0.500
0.250 0.250 0.500
0.750 0.750 0.500
```

* N(E_F): 30.61 states/eV/cell
* energy: -79.63 eV per cell
* volume: 38.5 A^3/atom
* space-group type: I4/mcm

---

(4)
Density functional theory data (PBE-GGA) for crystalline AcLa3Pr2Sm6 at its relaxed geometry.

POSCAR file:
```
AcLa3Pr2Sm6
1.0
-4.382 -1.811 4.356
6.234 -1.284 0.970
0.663 11.517 3.868
La Pr Sm Ac
3 2 6 1
direct
0.500 0.500 0.500
0.832 0.168 0.500
0.168 0.832 0.500
0.333 0.667 0.000
0.667 0.333 0.000
0.420 0.084 0.251
0.580 0.916 0.749
0.084 0.420 0.251
0.252 0.252 0.749
0.748 0.748 0.251
0.916 0.580 0.749
0.000 0.000 0.000
```

* N(E_F): 17.11 states/eV/cell
* energy: -56.57 eV per cell
* volume: 35.8 A^3/atom
* space-group type: C2/m